Entry from Alexandria: a geometry-optimized Pm3Pr2Ho2 structure (PBE).

Cell: 3.638 10.906 8.112 Å, 94.25 47.72 90.01°
Element x y z (fractional)
Ho (0.289, 0.288, 0.141)
Ho (0.711, 0.712, 0.859)
Pr (0.853, 0.855, 0.432)
Pr (0.147, 0.145, 0.568)
Pm (0.000, 0.000, 0.000)
Pm (0.574, 0.570, 0.284)
Pm (0.426, 0.430, 0.716)

Values from the calculation:
* formation energy from the elements: 0.0134 eV per atom
* space-group type: C2/m, No. 12
* electronic total energy: -4.70 eV/atom

Entry from Alexandria: a geometry-optimized PmPr3Ho8 structure (PBE).

Cell: 8.394 8.394 8.394 Å, 94.99 117.16 117.16°
Element x y z (fractional)
Ho (0.507, 0.746, 0.746)
Ho (0.000, 0.628, 0.879)
Ho (0.000, 0.254, 0.761)
Ho (0.251, 0.372, 0.372)
Ho (0.749, 0.121, 0.121)
Ho (0.000, 0.879, 0.628)
Ho (0.493, 0.239, 0.239)
Ho (0.000, 0.761, 0.254)
Pr (0.500, 0.250, 0.750)
Pr (0.500, 0.750, 0.250)
Pr (0.000, 0.500, 0.500)
Pm (0.000, 0.000, 0.000)

Values from the calculation:
* formation energy from the elements: 0.6190 eV per atom
* space-group type: I-42m, No. 121
* electronic total energy: -4.02 eV/atom

Entry from Alexandria: a geometry-optimized Pm4Pr3Ho8 structure (PBE).

Cell: 6.798 9.336 9.336 Å, 87.41 111.35 111.35°
Element x y z (fractional)
Ho (0.500, 0.256, 0.744)
Ho (0.007, 0.266, 0.266)
Ho (0.993, 0.734, 0.734)
Ho (0.000, 0.640, 0.360)
Ho (0.000, 0.360, 0.640)
Ho (0.500, 0.744, 0.256)
Ho (0.531, 0.268, 0.268)
Ho (0.469, 0.732, 0.732)
Pm (0.000, 0.500, 0.000)
Pm (0.000, 0.000, 0.500)
Pm (0.500, 0.000, 0.000)
Pm (0.000, 0.000, 0.000)
Pr (0.500, 0.500, 0.000)
Pr (0.500, 0.000, 0.500)
Pr (0.500, 0.500, 0.500)

Values from the calculation:
* formation energy from the elements: 0.3630 eV per atom
* space-group type: C2/m, No. 12
* electronic total energy: -4.30 eV/atom

Entry from Alexandria: a geometry-optimized Pm3Pr6Ho2 structure (PBE).

Cell: 4.819 4.819 17.514 Å, 97.91 97.91 90.00°
Element x y z (fractional)
Pm (0.000, 0.000, 0.000)
Pm (0.805, 0.805, 0.611)
Pm (0.195, 0.195, 0.389)
Pr (0.705, 0.705, 0.410)
Pr (0.381, 0.881, 0.762)
Pr (0.619, 0.119, 0.238)
Pr (0.295, 0.295, 0.590)
Pr (0.119, 0.619, 0.238)
Pr (0.881, 0.381, 0.762)
Ho (0.455, 0.455, 0.911)
Ho (0.545, 0.545, 0.089)

Values from the calculation:
* formation energy from the elements: 0.2767 eV per atom
* space-group type: I4/mmm, No. 139
* electronic total energy: -4.46 eV/atom